DFT (PBE) results for a relaxed structure of RbMgSi2Mo.

Output
The formation energy (no corrections) comes out at 2.48 eV/atom.

Cell lengths 5.3508, 5.3508, 5.3752 Å; angles 90.00, 90.00, 90.00 degrees
Closest atoms and distances in Å follow each position.
Fractional positions:
Rb: 0.0000 0.0000 0.0000  4 Si 2.68, 2 Mg 2.69
Mg: 0.0000 0.0000 0.5000  2 Rb 2.69
Si: 0.0000 0.5000 0.0000  2 Rb 2.68
Si: 0.5000 0.0000 0.0000  2 Rb 2.68
Mo: 0.5000 0.5000 0.5000  4 Mg 3.78, 8 Si 3.79


DFT (PBE) results for a relaxed structure of Tb4AgIrRh2.

Output
The value obtained for the formation enthalpy at 0 K is -551 kJ/mol of formula units.

Cell lengths 8.5685, 8.5685, 8.5685 Å; angles 33.45, 33.45, 33.45 degrees
Closest atoms and distances in Å follow each position.
Fractional positions:
Tb: 0.1206 0.1206 0.1206  1 Ir 2.92, 4 Rh 2.98-3.11, 3 Ag 3.06
Tb: 0.3715 0.3715 0.3715  4 Rh 2.98-3.06, 3 Ir 2.99, 1 Ag 3.12
Tb: 0.6285 0.6285 0.6285  4 Rh 2.98-3.06, 3 Ir 2.99, 1 Ag 3.12
Tb: 0.8794 0.8794 0.8794  1 Ir 2.92, 4 Rh 2.98-3.11, 3 Ag 3.06
Ag: 0.5000 0.5000 0.5000  8 Tb 3.06-3.12
Ir: 0.0000 0.0000 0.0000  8 Tb 2.92-2.99
Rh: 0.2487 0.2487 0.2487  8 Tb 2.98-3.11
Rh: 0.7513 0.7513 0.7513  8 Tb 2.98-3.11